# 1
CeNd2NpO8 | PBE | optimized geometry

Lattice parameters (Å, degrees): 3.941 5.549 7.725 92.69 89.48 94.93
Fractional positions:
O1 0.475 0.242 0.488
O2 0.525 0.758 0.512
O3 0.960 0.222 0.218
O4 0.966 0.242 0.756
O5 0.442 0.223 0.992
O6 0.040 0.778 0.782
O7 0.558 0.777 0.008
O8 0.034 0.758 0.244
Ce1 0.000 0.000 0.500
Nd1 0.499 0.508 0.252
Nd2 0.501 0.492 0.748
Np1 0.000 0.000 0.000

Formation energy from raw total energies, meV per atom: -3228
Total moment, μB per cell: 1.01
Uncorrected energy, eV/atom: -8.901

# 2
AcUTiO6 | PBE | optimized geometry

Lattice parameters (Å, degrees): 5.113 5.113 10.404 90.00 90.00 90.00
Fractional positions:
O1 0.732 0.732 0.312
O2 0.716 0.716 0.688
O3 0.768 0.232 0.812
O4 0.669 0.669 0.987
O5 0.831 0.169 0.487
O6 0.784 0.216 0.188
O7 0.169 0.831 0.487
O8 0.331 0.331 0.987
O9 0.284 0.284 0.688
O10 0.216 0.784 0.188
O11 0.232 0.768 0.812
O12 0.268 0.268 0.312
Ac1 0.500 0.500 0.506
Ac2 0.000 0.000 0.006
U1 0.000 0.000 0.672
U2 0.500 0.500 0.172
Ti1 0.500 0.500 0.848
Ti2 0.000 0.000 0.348

Formation energy from raw total energies, meV per atom: -3135
Total moment, μB per cell: 2.05
Uncorrected energy, eV/atom: -9.029

# 3
CsK2OsBr8 | PBE | optimized geometry

Lattice parameters (Å, degrees): 7.230 6.249 9.784 72.74 90.08 90.39
Fractional positions:
Br1 0.500 0.250 0.492
Br2 0.755 0.828 0.883
Br3 0.001 0.336 0.782
Br4 0.245 0.172 0.117
Br5 0.243 0.829 0.884
Br6 0.500 0.750 0.508
Br7 0.999 0.664 0.218
Br8 0.757 0.171 0.116
K1 0.498 0.676 0.191
K2 0.502 0.324 0.809
Cs1 0.000 0.000 0.500
Os1 0.000 0.000 0.000

Formation energy from raw total energies, meV per atom: -923
Total moment, μB per cell: 2.42
Uncorrected energy, eV/atom: -3.228

# 4
CdSe2Br | PBE | optimized geometry

Lattice parameters (Å, degrees): 5.049 5.049 5.059 69.62 69.62 107.79
Fractional positions:
Se1 0.000 0.000 0.000
Se2 0.500 0.500 0.000
Cd1 0.000 0.500 0.500
Br1 0.500 0.000 0.500

Offset from the most stable computed form, meV per atom: 271
Formation energy from raw total energies, meV per atom: -27
Total moment, μB per cell: 0.00
Uncorrected energy, eV/atom: -2.416

# 5
Y5HgRh | PBE | optimized geometry

Lattice parameters (Å, degrees): 5.941 5.941 11.928 77.87 77.87 76.14
Fractional positions:
Hg1 0.421 0.579 0.250
Hg2 0.579 0.421 0.750
Y1 0.012 0.988 0.250
Y2 0.212 0.543 0.567
Y3 0.919 0.579 0.126
Y4 0.081 0.421 0.874
Y5 0.579 0.919 0.626
Y6 0.988 0.012 0.750
Y7 0.421 0.081 0.374
Y8 0.788 0.457 0.433
Y9 0.457 0.788 0.933
Y10 0.543 0.212 0.067
Rh1 0.000 0.000 0.000
Rh2 0.000 0.000 0.500

Total moment, μB per cell: 0.00
Uncorrected energy, eV/atom: -6.003

# 6
CaS2I2 | PBE | optimized geometry

Lattice parameters (Å, degrees): 6.324 6.324 5.928 57.76 57.76 90.00
Fractional positions:
I1 0.750 0.250 0.500
I2 0.250 0.750 0.500
S1 0.623 0.623 0.754
S2 0.377 0.377 0.246
Ca1 0.000 0.000 0.000

Offset from the most stable computed form, meV per atom: 165
Formation energy from raw total energies, meV per atom: -410
Total moment, μB per cell: 0.00
Uncorrected energy, eV/atom: -3.081